SrLa3Fe: optimized geometry, PBEsol.

The relative energy among the computed polymorphs is 1456 meV per atom. Its total DFT energy (no corrections) is -19.1 eV/cell. For the formation energy, the calculation gives 1554 meV/atom.

It has space group Pm-3m (No. 221), with a = 5.667 Å, b = 5.667 Å, c = 5.667 Å, α = 90.00°, β = 90.00° and γ = 90.00°. The distinct sites, in fractional coordinates, are Sr at (0.000, 0.000, 0.000), La at (0.000, 0.000, 0.500) and Fe at (0.500, 0.500, 0.500).